Record 1
Material: Tb2SmTm8
Method: DFT, PBE
State: relaxed

Properties
Energy of formation = 0.11 eV/atom
SG = No. 12

Geometry as POSCAR:
```
Tb2SmTm8
1.0
8.594 -2.696 0.000
8.594 2.696 0.000
-3.694 0.000 7.390
Tb Sm Tm
2 1 8
direct
0.201 0.201 0.159
0.799 0.799 0.841
0.500 0.500 0.500
0.018 0.018 0.223
0.159 0.159 0.697
0.334 0.334 0.607
0.382 0.382 0.057
0.618 0.618 0.943
0.666 0.666 0.393
0.841 0.841 0.303
0.982 0.982 0.777
```



Record 2
Material: Tb3Sm8Tm4
Method: DFT, PBE
State: relaxed

Properties
Energy of formation = 0.36 eV/atom
SG = No. 12

Geometry as POSCAR:
```
Tb3Sm8Tm4
1.0
6.799 -6.062 0.000
6.799 6.062 0.000
-3.154 0.000 6.045
Tb Sm Tm
3 8 4
direct
0.000 0.000 0.000
0.000 0.500 0.500
0.500 0.000 0.500
0.203 0.203 0.670
0.205 0.795 0.500
0.253 0.747 0.000
0.257 0.257 0.205
0.743 0.743 0.795
0.747 0.253 0.000
0.795 0.205 0.500
0.797 0.797 0.330
0.000 0.500 0.000
0.500 0.000 0.000
0.500 0.500 0.000
0.500 0.500 0.500
```



Record 3
Material: TbSmTm4
Method: DFT, PBE
State: relaxed

Properties
Energy of formation = 0.02 eV/atom
SG = No. 10

Geometry as POSCAR:
```
TbSmTm4
1.0
3.524 0.000 0.000
0.000 4.977 0.000
-0.049 0.000 10.554
Tb Sm Tm
1 1 4
direct
0.000 0.000 0.000
0.500 0.500 0.500
0.000 0.000 0.331
0.000 0.000 0.669
0.499 0.500 0.166
0.501 0.500 0.834
```



Record 4
Material: Tb2SmTm9
Method: DFT, PBE
State: relaxed

Properties
Energy of formation = 0.05 eV/atom
SG = No. 191

Geometry as POSCAR:
```
Tb2SmTm9
1.0
11.093 0.000 0.000
-5.546 9.607 0.000
0.000 0.000 3.480
Tb Sm Tm
2 1 9
direct
0.333 0.667 0.000
0.667 0.333 0.000
0.000 0.000 0.000
0.000 0.500 0.000
0.178 0.355 0.500
0.178 0.822 0.500
0.355 0.178 0.500
0.500 0.000 0.000
0.500 0.500 0.000
0.645 0.822 0.500
0.822 0.178 0.500
0.822 0.645 0.500
```



Number 1: Fermi-level density of states 18.2 states/eV/f.u.. Number 2: Fermi-level density of states 23.3 states/eV/f.u.. Number 3: Fermi-level density of states 8.4 states/eV/f.u.. Number 4: Fermi-level density of states 17.8 states/eV/f.u..